An optimized crystal structure of LiYOs4, computed with PBE-GGA.

a = 5.2616 Å, b = 5.2616 Å, c = 5.2616 Å
α = 60.00°, β = 60.00°, γ = 60.00°
With the nearest neighbours (Å) after each atom.
Atoms (fractional coordinates):
Os 0.3746 0.3746 0.8763  6 Os 2.62-2.64
Os 0.8763 0.3746 0.3746  6 Os 2.62-2.64
Os 0.3746 0.8763 0.3746  6 Os 2.62-2.64
Os 0.3746 0.3746 0.3746  6 Os 2.62-2.64
Li 0.0000 0.0000 0.0000  12 Os 3.08, 4 Y 3.22
Y 0.7500 0.7500 0.7500  12 Os 3.09, 4 Li 3.22

As for the total magnetization: 0.00 μB per cell. For the total energy, the calculation gives -52.8 eV/cell. The value obtained for the energy of formation is 0.5 eV per formula unit.